# CaCoWO6

Crystalline CaCoWO6 at its relaxed geometry (PBE+U, Alexandria via LeMat-Bulk).

The calculation puts the calculated total energy at -0.485 Ry per atom.

The structure belongs to space group Pc (No. 7); the cell edges are 5.2988, 5.3389 and 9.1639 Å and the angles 90.00°, 125.28° and 90.00°. Symmetry generates all atoms from Ca at (0.0000, 0.2064, 0.0000), Co at (0.2403, 0.2439, 0.7502), W at (0.7372, 0.2647, 0.2494), O at (0.0641, 0.0333, 0.2807), O at (0.4097, 0.4693, 0.2119), O at (0.4894, 0.0305, 0.7130), O at (0.5596, 0.2596, 0.9943), O at (0.9277, 0.2409, 0.5032) and O at (0.9927, 0.4572, 0.7874).